This record from Alexandria via LeMat-Bulk describes a geometry-optimized Y2TmAl6 structure. The functional is GGA-PBE.

Summary:
Crystal system ... hexagonal
Total magnetic moment ... 0.0 μB per cell
ΔE_f ... -4.5 eV per formula unit

Cell lengths 7.895, 7.895, 3.460 Å; angles 90.00, 90.00, 120.00 degrees
Fractional coordinates of all 9 atoms:
1 Y 0.333 0.667 0.000
2 Y 0.667 0.333 0.000
3 Tm 0.000 0.000 0.000
4 Al 0.000 0.332 0.500
5 Al 0.000 0.668 0.500
6 Al 0.332 0.000 0.500
7 Al 0.332 0.332 0.500
8 Al 0.668 0.000 0.500
9 Al 0.668 0.668 0.500